Entry 1:
{"formula": "Rb2NaSb2", "functional": "SCAN", "state": "single point on PBEsol structure", "vol_a3_per_cell": 389.6, "sg": "P4/mbm", "total_energy_ev_per_cell": -244.5, "raw_formation_energy_ev_per_atom": -0.41, "total_magnetization_mub_per_fu": 0.51, "lattice_angstrom": [[8.282, 0.000, 0.000], [0.000, 8.282, 0.000], [0.000, 0.000, 5.679]], "species": ["Rb", "Rb", "Rb", "Rb", "Na", "Na", "Sb", "Sb", "Sb", "Sb"], "fractional_positions": [[0.171, 0.329, 0.000], [0.329, 0.829, 0.000], [0.671, 0.171, 0.000], [0.829, 0.671, 0.000], [0.000, 0.000, 0.500], [0.500, 0.500, 0.500], [0.120, 0.620, 0.500], [0.380, 0.120, 0.500], [0.620, 0.880, 0.500], [0.880, 0.380, 0.500]]}

Entry 2:
{"formula": "ZrAlOs2", "functional": "SCAN", "state": "single point on PBEsol structure", "formation_energy_ev_per_atom": -0.6367, "vol_a3_per_cell": 61.4, "sg": "P4/mmm", "total_energy_ev_per_cell": -184.8, "total_magnetization_mub_per_fu": 0.00, "lattice_angstrom": [[3.153, 0.000, 0.000], [0.000, 3.153, 0.000], [0.000, 0.000, 6.174]], "species": ["Zr", "Al", "Os", "Os"], "fractional_positions": [[0.000, 0.000, 0.000], [0.000, 0.000, 0.500], [0.500, 0.500, 0.268], [0.500, 0.500, 0.732]]}

Entry 3:
{"formula": "CaRhSe2", "functional": "SCAN", "state": "single point on PBEsol structure", "polymorph_energy_mev_per_atom": 0.0, "vol_a3_per_cell": 240.1, "sg": "R-3m", "total_energy_ev_per_cell": -263.2, "raw_formation_energy_ev_per_atom": -1.04, "total_magnetization_mub_per_fu": 1.00, "lattice_angstrom": [[3.982, 0.000, 0.000], [-1.991, 3.449, 0.000], [0.000, 0.000, 17.485]], "species": ["Ca", "Ca", "Ca", "Rh", "Rh", "Rh", "Se", "Se", "Se", "Se", "Se", "Se"], "fractional_positions": [[0.000, 0.000, 0.000], [0.333, 0.667, 0.667], [0.667, 0.333, 0.333], [0.000, 0.000, 0.500], [0.333, 0.667, 0.167], [0.667, 0.333, 0.833], [0.000, 0.000, 0.232], [0.000, 0.000, 0.768], [0.333, 0.667, 0.434], [0.333, 0.667, 0.899], [0.667, 0.333, 0.101], [0.667, 0.333, 0.566]]}

Entry 4:
{"formula": "BaNaPO4", "functional": "SCAN", "state": "single point on PBEsol structure", "polymorph_energy_mev_per_atom": 0.0, "vol_a3_per_cell": 196.9, "sg": "P3m1", "total_energy_ev_per_cell": -198.7, "raw_formation_energy_ev_per_atom": -2.89, "total_magnetization_mub_per_fu": 0.00, "lattice_angstrom": [[5.588, 0.000, 0.000], [-2.794, 4.839, 0.000], [0.000, 0.000, 7.280]], "species": ["Ba", "Ba", "Na", "Na", "P", "P", "O", "O", "O", "O", "O", "O", "O", "O"], "fractional_positions": [[0.000, 0.000, 0.000], [0.333, 0.667, 0.358], [0.000, 0.000, 0.514], [0.667, 0.333, 0.706], [0.333, 0.667, 0.790], [0.667, 0.333, 0.223], [0.184, 0.368, 0.711], [0.184, 0.816, 0.711], [0.333, 0.667, 0.002], [0.365, 0.183, 0.301], [0.632, 0.816, 0.711], [0.667, 0.333, 0.013], [0.817, 0.183, 0.301], [0.817, 0.635, 0.301]]}

Entry 5:
{"formula": "ScCdNi", "functional": "SCAN", "state": "single point on PBEsol structure", "formation_energy_ev_per_atom": -0.3481, "vol_a3_per_cell": 100.0, "sg": "I4mm", "total_energy_ev_per_cell": -123.7, "total_magnetization_mub_per_fu": 0.00, "lattice_angstrom": [[3.297, 0.000, 0.000], [0.000, 3.297, 0.000], [0.000, 0.000, 9.196]], "species": ["Sc", "Sc", "Cd", "Cd", "Ni", "Ni"], "fractional_positions": [[0.000, 0.000, 0.000], [0.500, 0.500, 0.500], [0.000, 0.000, 0.696], [0.500, 0.500, 0.196], [0.000, 0.000, 0.363], [0.500, 0.500, 0.863]]}

Entry 6:
{"formula": "NdPd3", "functional": "SCAN", "state": "single point on PBEsol structure", "formation_energy_ev_per_atom": -0.8257, "vol_a3_per_cell": 69.9, "sg": "Pm-3m", "total_energy_ev_per_cell": -145.2, "total_magnetization_mub_per_fu": 0.01, "lattice_angstrom": [[4.120, 0.000, 0.000], [0.000, 4.120, 0.000], [0.000, 0.000, 4.120]], "species": ["Nd", "Pd", "Pd", "Pd"], "fractional_positions": [[0.000, 0.000, 0.000], [0.000, 0.500, 0.500], [0.500, 0.000, 0.500], [0.500, 0.500, 0.000]]}

Entry 7:
{"formula": "AlTlPb2", "functional": "SCAN", "state": "single point on PBEsol structure", "formation_energy_ev_per_atom": 0.2092, "polymorph_energy_mev_per_atom": 111.5, "vol_a3_per_cell": 213.7, "sg": "I4/mmm", "total_energy_ev_per_cell": -461.7, "total_magnetization_mub_per_fu": 0.00, "lattice_angstrom": [[4.715, 0.000, 0.000], [0.000, 4.715, 0.000], [0.000, 0.000, 9.610]], "species": ["Al", "Al", "Tl", "Tl", "Pb", "Pb", "Pb", "Pb"], "fractional_positions": [[0.000, 0.000, 0.000], [0.500, 0.500, 0.500], [0.000, 0.000, 0.500], [0.500, 0.500, 0.000], [0.000, 0.500, 0.250], [0.000, 0.500, 0.750], [0.500, 0.000, 0.250], [0.500, 0.000, 0.750]]}

Entry 8:
{"formula": "CaCu2", "functional": "SCAN", "state": "single point on PBEsol structure", "formation_energy_ev_per_atom": -0.0434, "vol_a3_per_cell": 222.8, "sg": "Pnma", "total_energy_ev_per_cell": -160.8, "total_magnetization_mub_per_fu": 0.00, "lattice_angstrom": [[5.379, 0.000, 0.000], [0.000, 4.086, 0.000], [0.000, 0.000, 10.136]], "species": ["Ca", "Ca", "Ca", "Ca", "Cu", "Cu", "Cu", "Cu", "Cu", "Cu", "Cu", "Cu"], "fractional_positions": [[0.125, 0.250, 0.139], [0.375, 0.750, 0.639], [0.625, 0.250, 0.361], [0.875, 0.750, 0.861], [0.114, 0.250, 0.468], [0.177, 0.750, 0.347], [0.323, 0.250, 0.847], [0.386, 0.750, 0.968], [0.614, 0.250, 0.032], [0.677, 0.750, 0.153], [0.823, 0.250, 0.653], [0.886, 0.750, 0.532]]}

Entry 9:
{"formula": "Er3Co2Si3", "functional": "SCAN", "state": "single point on PBEsol structure", "vol_a3_per_cell": 272.5, "sg": "Cmcm", "total_energy_ev_per_cell": -443.0, "raw_formation_energy_ev_per_atom": -0.73, "total_magnetization_mub_per_fu": 0.00, "lattice_angstrom": [[2.012, -5.099, 0.000], [2.012, 5.099, 0.000], [0.000, 0.000, 13.284]], "species": ["Er", "Er", "Er", "Er", "Er", "Er", "Co", "Co", "Co", "Co", "Si", "Si", "Si", "Si", "Si", "Si"], "fractional_positions": [[0.081, 0.919, 0.612], [0.081, 0.919, 0.888], [0.362, 0.638, 0.750], [0.638, 0.362, 0.250], [0.919, 0.081, 0.112], [0.919, 0.081, 0.388], [0.215, 0.785, 0.080], [0.215, 0.785, 0.420], [0.785, 0.215, 0.580], [0.785, 0.215, 0.920], [0.331, 0.669, 0.250], [0.382, 0.618, 0.540], [0.382, 0.618, 0.960], [0.618, 0.382, 0.040], [0.618, 0.382, 0.460], [0.669, 0.331, 0.750]]}

Entry 10:
{"formula": "Li2CdRe2", "functional": "SCAN", "state": "single point on PBEsol structure", "formation_energy_ev_per_atom": 0.4910, "vol_a3_per_cell": 173.9, "sg": "I4/mmm", "total_energy_ev_per_cell": -349.9, "total_magnetization_mub_per_fu": 0.00, "lattice_angstrom": [[3.483, 0.000, 0.000], [0.000, 3.483, 0.000], [0.000, 0.000, 14.331]], "species": ["Li", "Li", "Li", "Li", "Cd", "Cd", "Re", "Re", "Re", "Re"], "fractional_positions": [[0.000, 0.000, 0.099], [0.000, 0.000, 0.901], [0.500, 0.500, 0.401], [0.500, 0.500, 0.599], [0.000, 0.000, 0.500], [0.500, 0.500, 0.000], [0.000, 0.500, 0.250], [0.000, 0.500, 0.750], [0.500, 0.000, 0.250], [0.500, 0.000, 0.750]]}

Entry 11:
{"formula": "BaWN3", "functional": "SCAN", "state": "single point on PBEsol structure", "vol_a3_per_cell": 167.7, "sg": "C2/m", "total_energy_ev_per_cell": -281.6, "raw_formation_energy_ev_per_atom": -0.74, "total_magnetization_mub_per_fu": 0.00, "lattice_angstrom": [[6.896, -1.948, 0.000], [6.896, 1.948, 0.000], [-1.729, 0.000, 6.244]], "species": ["Ba", "Ba", "W", "W", "N", "N", "N", "N", "N", "N"], "fractional_positions": [[0.105, 0.105, 0.312], [0.895, 0.895, 0.688], [0.339, 0.339, 0.122], [0.661, 0.661, 0.878], [0.190, 0.190, 0.975], [0.354, 0.354, 0.405], [0.465, 0.465, 0.053], [0.535, 0.535, 0.947], [0.646, 0.646, 0.595], [0.810, 0.810, 0.025]]}

Entry 12:
{"formula": "Na4EuSi2Te6", "functional": "SCAN", "state": "single point on PBEsol structure", "vol_a3_per_cell": 395.8, "sg": "C2", "total_energy_ev_per_cell": -325.5, "raw_formation_energy_ev_per_atom": -0.88, "total_magnetization_mub_per_fu": 7.00, "lattice_angstrom": [[3.786, -6.547, 0.000], [3.786, 6.547, 0.000], [-2.519, 0.000, 7.984]], "species": ["Na", "Na", "Na", "Na", "Eu", "Si", "Si", "Te", "Te", "Te", "Te", "Te", "Te"], "fractional_positions": [[0.000, 0.000, 0.000], [0.335, 0.665, 0.000], [0.668, 0.332, 0.000], [0.834, 0.166, 0.500], [0.501, 0.499, 0.500], [0.119, 0.784, 0.353], [0.216, 0.881, 0.647], [0.089, 0.435, 0.256], [0.250, 0.231, 0.743], [0.404, 0.070, 0.257], [0.565, 0.911, 0.744], [0.769, 0.750, 0.257], [0.930, 0.596, 0.743]]}